Below is crystalline CrTe2Pt at its relaxed geometry, with properties calculated at the PBE level.

```
CrTe2Pt
1.0
-5.637 -5.240 -1.150
-3.119 -6.320 -3.300
-3.013 -7.174 0.074
Te Pt Cr
2 1 1
Cartesian
-5.932 -9.443 -2.205
-11.721 -18.658 -4.358
-8.826 -14.050 -3.282
-2.942 -4.683 -1.094
```

Space group: No. 166
ΔE to the lowest computed polymorph, eV/atom: 0.4191
Formation energy from raw total energies, eV per formula unit: 0.9

Below is crystalline CrTe2Pt at its relaxed geometry, with properties calculated at the PBE level.

```
CrTe2Pt
1.0
-1.337 -5.526 -1.264
1.857 -1.654 5.266
-5.769 -2.683 4.413
Pt Te Cr
2 4 2
Cartesian
-3.423 -5.899 2.575
0.000 0.000 0.000
-0.450 -2.402 4.235
-3.874 -8.292 6.805
-4.129 -4.706 4.817
-2.044 -4.324 0.973
-1.826 -3.963 5.840
0.260 -3.590 2.001
```

Space group: No. 122
ΔE to the lowest computed polymorph, eV/atom: 0.2466
Formation energy from raw total energies, eV per formula unit: 0.3

Below is crystalline CrTe2Pt at its relaxed geometry, with properties calculated at the PBE level.

```
CrTe2Pt
1.0
4.781 0.000 0.000
0.000 4.486 -0.010
0.000 1.298 4.295
Te Cr Pt
2 1 1
Cartesian
0.000 5.286 3.915
2.390 1.951 1.445
0.000 3.032 2.246
2.390 4.194 3.106
```

Space group: No. 38
ΔE to the lowest computed polymorph, eV/atom: 0.0424
Formation energy from raw total energies, eV per formula unit: -0.6

Below is crystalline ZnCrTePt2 at its relaxed geometry, with properties calculated at the PBE level.

```
ZnCrTePt2
1.0
4.668 0.000 0.000
0.000 4.674 0.000
0.000 0.000 4.668
Cr Zn Pt Te
1 1 2 1
Cartesian
0.000 0.000 0.000
0.000 2.337 0.000
0.000 0.000 2.334
2.334 0.000 0.000
2.334 2.337 2.334
```

Space group: No. 123
Formation energy from raw total energies, eV per formula unit: 3.8

Below is crystalline Th3CrPt12 at its relaxed geometry, with properties calculated at the PBE level.

```
Th3CrPt12
1.0
4.182 0.000 0.000
0.000 4.182 0.000
0.000 0.000 16.544
Pt Cr Th
12 1 3
Cartesian
2.091 0.000 10.406
2.091 2.091 4.019
0.000 2.091 1.869
0.000 2.091 6.138
2.091 0.000 14.675
0.000 2.091 14.675
0.000 2.091 10.406
2.091 2.091 0.000
2.091 0.000 1.869
2.091 2.091 8.272
2.091 0.000 6.138
2.091 2.091 12.525
0.000 0.000 0.000
0.000 0.000 12.598
0.000 0.000 8.272
0.000 0.000 3.946
```

Space group: No. 123
Energy relative to the elements, eV per atom: -0.868

Below is crystalline ThCrPt6 at its relaxed geometry, with properties calculated at the PBE level.

```
ThCrPt6
1.0
-3.441 0.039 -2.243
-0.893 -3.791 1.304
-4.072 3.126 6.300
Pt Cr Th
6 1 1
Cartesian
-2.809 0.855 0.563
-1.535 -1.060 2.337
-3.429 0.394 5.267
-2.167 -1.876 -0.470
-4.203 -0.313 2.680
-4.703 2.309 3.493
-2.036 1.563 3.150
0.000 0.000 0.000
```

Space group: No. 123
Energy relative to the elements, eV per atom: -0.629

Below is crystalline TiCrPt3 at its relaxed geometry, with properties calculated at the PBE level.

```
TiCrPt3
1.0
-0.300 -1.923 4.131
0.369 -4.136 -1.899
4.542 0.209 0.427
Pt Cr Ti
3 1 1
Cartesian
-0.150 -0.962 2.065
0.185 -2.068 -0.949
2.271 0.105 0.214
0.000 0.000 0.000
2.305 -2.925 1.330
```

Space group: No. 221
Energy relative to the elements, eV per atom: 0.688
ΔE to the lowest computed polymorph, eV/atom: 0.1020

Below is crystalline Ti2Cr2Pt at its relaxed geometry, with properties calculated at the PBE level.

```
Ti2Cr2Pt
1.0
6.746 0.000 0.000
0.000 6.746 0.000
0.000 0.000 3.204
Cr Ti Pt
4 4 2
Cartesian
2.670 6.043 0.000
0.703 2.670 0.000
6.043 4.076 0.000
4.076 0.703 0.000
2.073 1.300 1.602
5.446 2.073 1.602
1.300 4.673 1.602
4.673 5.446 1.602
0.000 0.000 0.000
3.373 3.373 0.000
```

Space group: No. 127
Energy relative to the elements, eV per atom: -0.133

Below is crystalline Ti3CrPt12 at its relaxed geometry, with properties calculated at the PBE level.

```
Ti3CrPt12
1.0
3.939 0.000 0.000
0.000 3.939 0.000
0.000 0.000 15.794
Pt Ti Cr
12 3 1
Cartesian
0.000 1.970 9.861
1.970 1.970 0.000
1.970 0.000 9.861
1.970 0.000 2.008
0.000 1.970 5.933
0.000 1.970 2.008
1.970 1.970 7.897
0.000 1.970 13.786
1.970 1.970 11.829
1.970 0.000 13.786
1.970 1.970 3.965
1.970 0.000 5.933
0.000 0.000 11.912
0.000 0.000 7.897
0.000 0.000 3.882
0.000 0.000 0.000
```

Space group: No. 123
Energy relative to the elements, eV per atom: -0.731

Below is crystalline TiCr2Pt at its relaxed geometry, with properties calculated at the PBE level.

```
TiCr2Pt
1.0
3.557 0.000 0.000
0.000 3.557 0.000
1.778 1.778 9.455
Pt Cr Ti
2 4 2
Cartesian
3.557 1.778 4.728
0.000 0.000 0.000
2.668 2.817 7.091
1.038 2.668 2.364
4.446 4.297 7.091
2.519 0.889 2.364
1.778 3.557 4.728
1.778 1.778 0.000
```

Space group: No. 122
Energy relative to the elements, eV per atom: 0.238

Below is crystalline Ti2CrPt at its relaxed geometry, with properties calculated at the PBE level.

```
Ti2CrPt
1.0
4.361 0.000 0.000
2.181 3.777 0.000
2.181 1.259 3.561
Pt Cr Ti
1 1 2
Cartesian
4.361 2.518 1.780
0.000 0.000 0.000
2.181 1.259 0.890
6.542 3.777 2.671
```

Space group: No. 225
Energy relative to the elements, eV per atom: -0.531
ΔE to the lowest computed polymorph, eV/atom: 0.0250

Below is crystalline TiCr2Pt at its relaxed geometry, with properties calculated at the PBE level.

```
TiCr2Pt
1.0
0.000 3.032 3.032
3.032 0.000 3.032
3.032 3.032 0.000
Cr Pt Ti
2 1 1
Cartesian
4.547 4.547 4.547
1.516 1.516 1.516
3.032 3.032 3.032
0.000 0.000 0.000
```

Space group: No. 225
Energy relative to the elements, eV per atom: -0.054

Below is crystalline TiCrPt2 at its relaxed geometry, with properties calculated at the PBE level.

```
TiCrPt2
1.0
3.843 0.000 0.000
0.000 3.843 0.000
1.921 1.921 8.736
Ti Pt Cr
2 4 2
Cartesian
1.921 1.921 0.000
1.921 3.843 4.368
2.882 2.860 6.552
0.939 2.882 2.184
2.904 0.961 2.184
4.803 4.825 6.552
3.843 1.921 4.368
0.000 0.000 0.000
```

Space group: No. 122
Energy relative to the elements, eV per atom: 0.002

Below is crystalline Ti2CrPt at its relaxed geometry, with properties calculated at the PBE level.

```
Ti2CrPt
1.0
-3.304 1.240 -1.646
1.175 -1.422 -3.430
-4.827 -7.661 -0.689
Pt Ti Cr
2 4 2
Cartesian
-4.598 -3.256 -2.436
0.000 0.000 0.000
-0.921 -2.636 -2.539
-3.090 -1.331 -1.612
-5.496 -5.889 -4.921
-4.406 -5.829 -2.456
-2.358 -4.587 -3.328
-1.065 -0.091 -2.538
```

Space group: No. 122
Energy relative to the elements, eV per atom: 0.260
ΔE to the lowest computed polymorph, eV/atom: 0.8159

Below is crystalline TiCrPt3 at its relaxed geometry, with properties calculated at the PBE level.

```
TiCrPt3
1.0
-3.094 -3.370 -0.951
0.562 -1.731 4.304
-3.457 2.735 1.551
Pt Ti Cr
3 1 1
Cartesian
0.281 -0.865 2.152
-1.728 1.368 0.776
-1.547 -1.685 -0.476
0.000 0.000 0.000
-2.994 -1.183 2.452
```

Space group: No. 221
Energy relative to the elements, eV per atom: 0.586
ΔE to the lowest computed polymorph, eV/atom: 0.0000

Below is crystalline Ti2CrPt2 at its relaxed geometry, with properties calculated at the PBE level.

```
Ti2CrPt2
1.0
-0.224 -7.166 1.582
7.259 -0.449 -1.008
0.435 0.617 2.857
Cr Ti Pt
2 4 4
Cartesian
3.518 -3.808 0.287
0.000 0.000 0.000
1.366 -2.143 1.783
5.032 -1.198 1.021
2.439 -5.800 2.410
6.104 -4.855 1.648
6.208 -3.016 -0.294
4.404 -6.494 0.732
0.827 -4.600 0.868
2.631 -1.121 -0.158
```

Space group: No. 127
Energy relative to the elements, eV per atom: -0.363

Below is crystalline Ti2CrPt at its relaxed geometry, with properties calculated at the PBE level.

```
Ti2CrPt
1.0
-2.180 -1.770 1.320
-1.221 -0.579 -2.793
3.636 -4.905 -0.572
Cr Ti Pt
1 2 1
Cartesian
-1.701 -1.175 -0.736
0.847 -1.143 -0.133
2.789 -3.762 -0.439
0.117 -3.627 -1.022
```

Space group: No. 123
Energy relative to the elements, eV per atom: -0.556
ΔE to the lowest computed polymorph, eV/atom: 0.0000

Below is crystalline Ti2CrPt9 at its relaxed geometry, with properties calculated at the PBE level.

```
Ti2CrPt9
1.0
-2.968 -0.197 -2.583
0.479 -3.902 -0.253
-7.643 -1.515 8.897
Ti Cr Pt
2 1 9
Cartesian
-2.516 -0.499 2.929
-5.127 -1.016 5.969
0.000 0.000 0.000
-3.800 -2.556 1.557
-5.305 -0.856 3.157
-1.053 -2.207 1.379
-3.582 -2.708 4.322
-6.332 -3.058 4.505
-2.777 -0.355 0.214
-7.834 -1.357 6.101
-1.244 -2.049 -1.418
-6.111 -3.210 7.266
```

Space group: No. 123
Energy relative to the elements, eV per atom: -0.681

Below is crystalline Tl2CrPt at its relaxed geometry, with properties calculated at the PBE level.

```
Tl2CrPt
1.0
-3.087 -0.075 1.286
0.023 -3.353 -0.141
3.054 -3.608 7.120
Pt Cr Tl
1 1 2
Cartesian
0.596 -5.249 5.475
1.703 -3.493 3.885
2.923 -3.607 6.806
-0.640 -1.775 2.709
```

Space group: No. 6
Energy relative to the elements, eV per atom: 0.183
ΔE to the lowest computed polymorph, eV/atom: 0.0000

Below is crystalline TlCrPt at its relaxed geometry, with properties calculated at the PBE level.

```
TlCrPt
1.0
-2.299 -3.905 0.825
4.343 0.468 1.460
-1.002 1.142 2.615
Pt Cr Tl
1 1 1
Cartesian
1.766 -0.576 2.195
-0.020 0.022 0.051
-0.704 -1.741 2.653
```

Space group: No. 156
Energy relative to the elements, eV per atom: 0.296
ΔE to the lowest computed polymorph, eV/atom: 0.0450

| no. | DFT total energy (eV/atom) | M_tot (μB per formula unit) |
| --- | --- | --- |
| 1 | -5.250 | 0.001 |
| 2 | -5.422 | 2.810 |
| 3 | -5.626 | 3.415 |
| 4 | -4.468 | 1.749 |
| 5 | -7.391 | 3.248 |
| 6 | -7.290 | 3.023 |
| 7 | -6.440 | 0.000 |
| 8 | -8.349 | 0.000 |
| 9 | -7.343 | 3.319 |
| 10 | -8.057 | 0.000 |
| 11 | -8.395 | 0.000 |
| 12 | -8.349 | 2.599 |
| 13 | -7.398 | 0.003 |
| 14 | -7.604 | 0.000 |
| 15 | -6.542 | 4.099 |
| 16 | -7.862 | 0.001 |
| 17 | -8.420 | 0.218 |
| 18 | -7.329 | 3.197 |
| 19 | -4.917 | 3.692 |
| 20 | -5.714 | 4.118 |